# Zn2NiAu PBE optimized geometry
# DOS(E_F): 0.385 states/eV/atom
# Total magnetization: 0.0 μB/f.u.
# Crystal system: tetragonal
data_Zn2NiAu
_chemical_formula_sum 'Zn8 Ni4 Au4'
_space_group_name_H-M_alt 'I -4 2 d'
_space_group_IT_number 122
_space_group_name_Hall 'I -4 2bw'
_cell_length_a 6.856
_cell_length_b 6.856
_cell_length_c 5.288
_cell_angle_alpha 90.00
_cell_angle_beta 90.00
_cell_angle_gamma 90.00
loop_
_atom_site_label
_atom_site_type_symbol
_atom_site_fract_x
_atom_site_fract_y
_atom_site_fract_z
Zn1 Zn 0.228 0.750 0.125
Ni1 Ni 0.000 0.000 0.000
Au1 Au 0.000 0.000 0.500

***

# ZnNi2Au PBE optimized geometry
# DOS(E_F): 1.195 states/eV/atom
# Total magnetization: 0.5 μB/f.u.
# Crystal system: tetragonal
data_ZnNi2Au
_chemical_formula_sum 'Zn4 Ni8 Au4'
_space_group_name_H-M_alt 'I -4 2 d'
_space_group_IT_number 122
_space_group_name_Hall 'I -4 2bw'
_cell_length_a 3.634
_cell_length_b 3.634
_cell_length_c 17.837
_cell_angle_alpha 90.00
_cell_angle_beta 90.00
_cell_angle_gamma 90.00
loop_
_atom_site_label
_atom_site_type_symbol
_atom_site_fract_x
_atom_site_fract_y
_atom_site_fract_z
Zn1 Zn 0.000 0.000 0.000
Ni1 Ni 0.234 0.250 0.125
Au1 Au 0.000 0.000 0.500

***

# ZnNiAu PBE optimized geometry
# DOS(E_F): 0.369 states/eV/atom
# Total magnetization: 0.0 μB/f.u.
# Crystal system: monoclinic
data_ZnNiAu
_chemical_formula_sum 'Zn4 Ni4 Au4'
_space_group_name_H-M_alt 'C 1 m 1'
_space_group_IT_number 8
_cell_length_a 8.522
_cell_length_b 3.845
_cell_length_c 5.492
_cell_angle_alpha 90.00
_cell_angle_beta 107.17
_cell_angle_gamma 90.00
loop_
_space_group_symop_operation_xyz
'x,y,z'
'x,-y,z'
'x+1/2,y+1/2,z'
'x+1/2,-y+1/2,z'
loop_
_atom_site_label
_atom_site_type_symbol
_atom_site_fract_x
_atom_site_fract_y
_atom_site_fract_z
Zn1 Zn 0.000 0.000 0.000
Zn2 Zn 0.197 0.500 0.394
Ni1 Ni 0.020 0.000 0.531
Ni2 Ni 0.342 0.000 0.692
Au1 Au 0.169 0.500 0.857
Au2 Au 0.361 0.000 0.216

***

Going through the records in order, we get calculated formation energy values of 0.0481, 0.2448, -0.1399 eV per atom.